A geometry-optimized GdHoSi4Pd2 structure. Source: OQMD, functional GGA-PBE.

Results
Its size of the total moment is 0.03 Bohr magnetons per cell. As for the space-group type: Amm2 (38). The total energy comes out at -95.593 eV/cell.

a b c (Å): 4.116 4.072 17.233
angles (deg): 90.00 90.00 90.00
Positions (direct):
1 Gd 0.000 0.000 0.000
2 Gd 0.000 0.500 0.500
3 Ho 0.500 0.000 0.799
4 Ho 0.500 0.500 0.299
5 Si 0.000 0.000 0.365
6 Si 0.000 0.000 0.649
7 Si 0.000 0.500 0.149
8 Si 0.000 0.500 0.865
9 Si 0.500 0.000 0.151
10 Si 0.500 0.000 0.434
11 Si 0.500 0.500 0.651
12 Si 0.500 0.500 0.934
13 Pd 0.000 0.000 0.227
14 Pd 0.000 0.500 0.727
15 Pd 0.500 0.000 0.573
16 Pd 0.500 0.500 0.073